Computed, not measured: crystalline CaThAs2Pd5 at its relaxed geometry at the PBE-GGA level of DFT.

Lattice parameters (Å, degrees): 4.3205 4.3205 9.0369 90.00 90.00 90.00
Element x y z (fractional)
Ca  0.0000  0.0000  0.5000
Th  0.0000  0.0000  0.0000
As  0.5000  0.5000  0.1414
As  0.5000  0.5000  0.8586
Pd  0.0000  0.5000  0.2740
Pd  0.5000  0.0000  0.2740
Pd  0.0000  0.5000  0.7260
Pd  0.5000  0.0000  0.7260
Pd  0.5000  0.5000  0.5000

Properties
magnetic moment: 0.0 μB per formula unit
N(E_F): 0.430 states/eV/atom
DFT total energy: -5.69 eV per atom
crystal system: tetragonal
V: 18.7 Å³/atom
DFT formation energy: -0.73 eV per atom

---

Computed, not measured: crystalline K5Sb2Pt at its relaxed geometry at the PBE-GGA level of DFT.

Lattice parameters (Å, degrees): 5.9371 5.9371 10.1624 73.02 73.02 60.00
Element x y z (fractional)
K  0.5000  0.5000  0.5000
K  0.3617  0.3617  0.9148
K  0.6383  0.6383  0.0852
K  0.2196  0.2196  0.3412
K  0.7804  0.7804  0.6588
Sb  0.0903  0.0903  0.7291
Sb  0.9097  0.9097  0.2709
Pt  0.0000  0.0000  0.0000

Properties
magnetic moment: 0.0 μB per formula unit
N(E_F): 0.794 states/eV/atom
DFT total energy: -2.88 eV per atom
uncorrected formation energy: -0.413 eV/atom
crystal system: trigonal
V: 36.5 Å³/atom

---

Computed, not measured: crystalline Sc3BiB at its relaxed geometry at the PBE-GGA level of DFT.

Lattice parameters (Å, degrees): 22.3977 5.8564 8.7597 90.00 158.84 90.00
Element x y z (fractional)
Sc  0.2443  0.0074  0.7443
Sc  0.7557  0.9926  0.2557
Sc  0.2557  0.5074  0.7557
Sc  0.7443  0.4926  0.2443
Sc  0.3537  0.2500  0.3537
Sc  0.6463  0.7500  0.6463
Sc  0.1463  0.7500  0.1463
Sc  0.8537  0.2500  0.8537
Sc  0.5499  0.7623  0.0498
Sc  0.4501  0.2377  0.9502
Sc  0.9501  0.2623  0.4502
Sc  0.0499  0.7377  0.5498
B  0.1111  0.2714  0.6111
B  0.8889  0.7286  0.3889
B  0.3889  0.7714  0.8889
B  0.6111  0.2286  0.1111
Bi  0.4160  0.7500  0.4160
Bi  0.5840  0.2500  0.5840
Bi  0.0840  0.2500  0.0840
Bi  0.9160  0.7500  0.9160

Properties
magnetic moment: 0.0 μB per formula unit
energy relative to the lowest polymorph listed for this composition: 0.1719 eV/atom
N(E_F): 0.785 states/eV/atom
DFT total energy: -6.31 eV per atom
crystal system: orthorhombic
V: 20.7 Å³/atom
DFT formation energy: -0.39 eV per atom

---

Computed, not measured: crystalline KFeBr2 at its relaxed geometry at the PBE-GGA level of DFT.

Lattice parameters (Å, degrees): 3.8695 4.2170 7.2417 89.58 90.00 90.00
Last column: magnetic moment on the atom in μB.
Element x y z (fractional)
Br  0.0000  0.2423  0.0141  0.03
Br  0.0000  0.2577  0.4859  0.03
Fe  0.5000  0.2500  0.2500  2.84
K  0.5000  0.7500  0.7500  0.00

Properties
magnetic moment: 3.0 μB per formula unit
energy relative to the lowest polymorph listed for this composition: 0.0624 eV/atom
N(E_F): 0.333 states/eV/atom
DFT total energy: -3.79 eV per atom
uncorrected formation energy: -0.566 eV/atom
crystal system: monoclinic
V: 29.5 Å³/atom

---

Computed, not measured: crystalline Pm8Te3C3N at its relaxed geometry at the PBE-GGA level of DFT.

Lattice parameters (Å, degrees): 7.7342 7.7360 8.5471 116.92 89.99 120.00
Last column: magnetic moment on the atom in μB.
Element x y z (fractional)
Pm  0.2696  0.5393  0.3089  0.01
Pm  0.7304  0.4607  0.6911  0.01
Pm  0.7713  0.5425  0.3130  0.09
Pm  0.2287  0.4575  0.6870  0.09
Pm  0.7714  0.0417  0.3132  0.09
Pm  0.2286  0.9583  0.6868  0.09
Pm  0.2703  0.0417  0.3131  0.09
Pm  0.7297  0.9583  0.6869  0.09
Te  0.0000  0.0000  0.0000  0.01
Te  0.0000  0.5000  0.0000  0.01
Te  0.5000  0.5000  0.0000  0.00
C  0.5000  0.0000  0.5000  -0.01
C  0.5000  0.5000  0.5000  -0.01
C  0.0000  0.5000  0.5000  -0.01
N  0.0000  0.0000  0.5000  -0.01

Properties
magnetic moment: 1.4 μB per formula unit
N(E_F): 0.503 states/eV/atom
DFT total energy: -6.36 eV per atom
uncorrected formation energy: -0.800 eV/atom
crystal system: trigonal
V: 25.2 Å³/atom

---

Computed, not measured: crystalline In6Bi4Pb at its relaxed geometry at the PBE-GGA level of DFT.

Lattice parameters (Å, degrees): 3.4812 10.7351 10.7351 120.00 90.00 90.00
Element x y z (fractional)
In  0.5000  0.6426  0.8213
In  0.5000  0.1787  0.3574
In  0.0000  0.5197  0.0394
In  0.0000  0.5197  0.4803
In  0.0000  0.9606  0.4803
In  0.5000  0.1787  0.8213
Bi  0.5000  0.3394  0.1697
Bi  0.5000  0.8303  0.1697
Bi  0.0000  0.3333  0.6667
Bi  0.5000  0.8303  0.6606
Pb  0.0000  0.0000  0.0000

Properties
magnetic moment: 0.0 μB per formula unit
N(E_F): 0.539 states/eV/atom
DFT total energy: -3.18 eV per atom
crystal system: hexagonal
V: 31.6 Å³/atom
DFT formation energy: 0.06 eV per atom